! KCu2SbBr6, optimized geometry, DFT PBE-GGA; values from VASP
&SYSTEM
  ibrav = 0, nat = 10, ntyp = 4
/
ATOMIC_SPECIES
K 39.10 K.upf
Cu 63.55 Cu.upf
Sb 121.76 Sb.upf
Br 79.90 Br.upf
CELL_PARAMETERS angstrom
-2.727 -6.005 3.162
0.721 0.301 -7.270
8.462 1.068 0.888
ATOMIC_POSITIONS crystal
K 0.997 0.498 0.480
Cu 0.468 0.734 0.188
Cu 0.525 0.261 0.774
Sb 0.997 0.998 0.980
Br 0.544 0.949 0.756
Br 0.450 0.047 0.203
Br 0.816 0.769 0.204
Br 0.171 0.402 0.203
Br 0.821 0.593 0.757
Br 0.177 0.226 0.756
! - uncorrected energy (eV/atom) = -3.027
! - formation energy without anion corrections (eV per atom) = -0.682

=====

! BeCdSn, optimized geometry, DFT PBE-GGA; values from VASP
&SYSTEM
  ibrav = 0, nat = 12, ntyp = 3
/
ATOMIC_SPECIES
Be 9.01 Be.upf
Sn 118.71 Sn.upf
Cd 112.41 Cd.upf
CELL_PARAMETERS angstrom
7.303 0.000 0.000
0.000 5.900 0.000
0.000 0.000 5.667
ATOMIC_POSITIONS crystal
Be 0.715 0.250 0.897
Be 0.785 0.750 0.397
Be 0.285 0.750 0.103
Be 0.215 0.250 0.603
Sn 0.383 0.250 0.018
Sn 0.117 0.750 0.518
Sn 0.617 0.750 0.982
Sn 0.883 0.250 0.482
Cd 0.000 0.000 0.000
Cd 0.500 0.500 0.500
Cd 0.500 0.000 0.500
Cd 0.000 0.500 0.000
! - energy of formation from the pure elements (kcal/mol of atoms) = 9.3
! - uncorrected energy (eV/atom) = -2.478

=====

! AgAsIr2, optimized geometry, DFT PBE-GGA; values from VASP
&SYSTEM
  ibrav = 0, nat = 4, ntyp = 3
/
ATOMIC_SPECIES
As 74.92 As.upf
Ir 192.22 Ir.upf
Ag 107.87 Ag.upf
CELL_PARAMETERS angstrom
-2.789 -2.773 -1.432
1.734 -0.568 -2.278
3.141 -4.019 1.664
ATOMIC_POSITIONS crystal
As 0.500 0.750 0.750
Ir 0.000 0.881 0.982
Ir 0.000 0.619 0.518
Ag 0.500 0.250 0.250
! - energy of formation from the pure elements (kcal/mol of atoms) = 6.3
! - uncorrected energy (eV/atom) = -6.034

=====

! CaTh3H, optimized geometry, DFT PBE-GGA; values from VASP
&SYSTEM
  ibrav = 0, nat = 5, ntyp = 3
/
ATOMIC_SPECIES
H 1.01 H.upf
Ca 40.08 Ca.upf
Th 232.04 Th.upf
CELL_PARAMETERS angstrom
5.140 0.000 0.000
0.000 5.140 0.000
0.000 0.000 5.140
ATOMIC_POSITIONS crystal
H 0.000 0.000 0.000
Ca 0.500 0.500 0.500
Th 0.000 0.500 0.000
Th 0.000 0.000 0.500
Th 0.500 0.000 0.000
! - uncorrected energy (eV/atom) = -5.474

=====

! PmMg2Au6, optimized geometry, DFT PBE-GGA; values from VASP
&SYSTEM
  ibrav = 0, nat = 9, ntyp = 3
/
ATOMIC_SPECIES
Pm 145.00 Pm.upf
Mg 24.30 Mg.upf
Au 196.97 Au.upf
CELL_PARAMETERS angstrom
-2.264 2.470 0.968
-5.886 -0.716 -5.657
-6.893 -4.291 1.110
ATOMIC_POSITIONS crystal
Pm 0.500 0.500 0.500
Mg 0.358 0.142 0.142
Mg 0.642 0.858 0.858
Au 0.179 0.503 0.139
Au 0.821 0.497 0.861
Au 0.821 0.861 0.497
Au 0.000 0.175 0.825
Au 0.000 0.825 0.175
Au 0.179 0.139 0.503
! - energy of formation from the pure elements (kcal/mol of atoms) = -11.4
! - uncorrected energy (eV/atom) = -3.562

=====

! Na2AgPdF6, optimized geometry, DFT PBE-GGA; values from VASP
&SYSTEM
  ibrav = 0, nat = 10, ntyp = 4
/
ATOMIC_SPECIES
Na 22.99 Na.upf
Ag 107.87 Ag.upf
Pd 106.42 Pd.upf
F 19.00 F.upf
CELL_PARAMETERS angstrom
1.431 -5.948 -0.156
3.571 -2.403 4.350
-2.376 -3.828 4.140
ATOMIC_POSITIONS crystal
Na 0.250 0.250 0.250
Na 0.750 0.750 0.750
Ag 0.500 0.500 0.500
Pd 0.000 0.000 0.000
F 0.760 0.240 0.240
F 0.760 0.240 0.760
F 0.240 0.760 0.760
F 0.240 0.240 0.760
F 0.760 0.760 0.240
F 0.240 0.760 0.240
! - E above lowest polymorph (eV per formula unit) = 1.10
! - uncorrected energy (eV/atom) = -3.923
! - formation energy without anion corrections (eV per atom) = -1.732

=====

! KIr2Au, optimized geometry, DFT PBE-GGA; values from VASP
&SYSTEM
  ibrav = 0, nat = 4, ntyp = 3
/
ATOMIC_SPECIES
Au 196.97 Au.upf
Ir 192.22 Ir.upf
K 39.10 K.upf
CELL_PARAMETERS angstrom
-0.091 -0.025 -4.675
-3.852 -0.960 0.080
-0.960 3.853 -0.002
ATOMIC_POSITIONS crystal
Au 0.500 0.000 0.500
Ir 0.000 0.000 0.000
Ir 0.000 0.500 0.500
K 0.500 0.500 0.000
! - E above lowest polymorph (eV per formula unit) = 2.72
! - energy of formation from the pure elements (kcal/mol of atoms) = 22.9
! - uncorrected energy (eV/atom) = -4.532

=====

! CaSi2Mo, optimized geometry, DFT PBE-GGA; values from VASP
&SYSTEM
  ibrav = 0, nat = 4, ntyp = 3
/
ATOMIC_SPECIES
Mo 95.94 Mo.upf
Si 28.09 Si.upf
Ca 40.08 Ca.upf
CELL_PARAMETERS angstrom
-1.750 -2.909 3.095
-3.294 -2.956 -1.231
0.931 -4.489 -0.284
ATOMIC_POSITIONS crystal
Mo 0.500 0.500 0.500
Si 0.250 0.250 0.250
Si 0.750 0.750 0.750
Ca 0.000 0.000 0.000
! - E above lowest polymorph (eV per formula unit) = 1.76
! - uncorrected energy (eV/atom) = -5.763
! - formation energy without anion corrections (eV per atom) = 0.157